Computed, not measured: a relaxed HfSiPt2 crystal at the PBE level of DFT.

* VASP energy: -30.771 eV per cell
* crystal system: trigonal
* ΔE_f (raw): -3.31 eV/f.u.
* space group: R-3m (166)

```
HfSiPt2
1.0
4.144 0.000 0.000
2.072 3.589 0.000
2.072 1.196 4.574
Pt Hf Si
2 1 1
direct
0.721 0.721 0.836 Pt
0.279 0.279 0.164 Pt
0.500 0.500 0.500 Hf
0.000 0.000 0.000 Si
```